First-principles (PBE with a Hubbard U) data for a relaxed structure of Zr2VNF, as listed in Alexandria via LeMat-Bulk.

Computed properties:
For the density of states at the Fermi level, the calculation gives 4.06 states/eV/f.u. The value obtained for the electronic total energy is -6.44 eV per atom. The value obtained for the volume is 15.77 Å³/atom.

Cell lengths 4.5147, 4.5147, 3.8683 Å; angles 90.00, 90.00, 90.00 degrees
Fractional coordinates of all 5 atoms:
Zr1 0.0000 0.5000 0.0000
Zr2 0.5000 0.0000 0.0000
V1 0.0000 0.0000 0.5000
N1 0.5000 0.5000 0.5000
F1 0.0000 0.0000 0.0000